Record 1
VASP calculation (GGA-PBE) on an optimized crystal structure of TcSe.

Cell: 4.6812 4.6812 7.3704 Å, 90.00 90.00 120.00°
Element x y z (fractional)
Tc1 0.3333 0.6667 0.0853
Tc2 0.6667 0.3333 0.5853
Tc3 0.6667 0.3333 0.9147
Tc4 0.3333 0.6667 0.4147
Se1 0.0000 0.0000 0.2500
Se2 0.0000 0.0000 0.7500
Se3 0.3333 0.6667 0.7500
Se4 0.6667 0.3333 0.2500

Output
Relative energy among the computed polymorphs   1.060 eV/atom
ΔE_f (raw)   0.8539 eV per atom
Space-group type   No. 194

***

Record 2
VASP calculation (GGA-PBE) on an optimized crystal structure of Tm3ScSe4.

Cell: 3.9462 6.9254 6.9254 Å, 108.98 90.00 90.00°
Element x y z (fractional)
Sc1 0.5000 0.0000 0.0000
Tm1 0.0000 0.0000 0.5000
Tm2 0.5000 0.5000 0.5000
Tm3 0.0000 0.5000 0.0000
Se1 0.0000 0.2438 0.2438
Se2 0.5000 0.7531 0.2469
Se3 0.0000 0.7562 0.7562
Se4 0.5000 0.2469 0.7531

Output
Relative energy among the computed polymorphs   0.000 eV/atom
ΔE_f (raw)   -1.6377 eV per atom
Space-group type   No. 65

***

Record 3
VASP calculation (GGA-PBE) on an optimized crystal structure of CsNa2SrAu.

Cell: 6.1623 6.1623 6.0529 Å, 90.00 90.00 90.00°
Element x y z (fractional)
Cs1 0.5000 0.5000 0.5000
Sr1 0.0000 0.0000 0.5000
Au1 0.0000 0.0000 0.0000
Na1 0.0000 0.5000 0.0000
Na2 0.5000 0.0000 0.0000

Output
Space-group type   No. 123
Formation enthalpy at 0 K   -0.13 eV/atom

***

Record 4
VASP calculation (GGA-PBE) on an optimized crystal structure of KIrS.

Cell: 5.8840 12.0015 4.0683 Å, 90.00 113.58 90.00°
Element x y z (fractional)
K1 0.6631 0.6976 0.1714
K2 0.1631 0.3024 0.6714
K3 0.6631 0.1976 0.6714
K4 0.1631 0.8024 0.1714
Ir1 0.8134 0.9850 0.3323
Ir2 0.3134 0.0150 0.8323
Ir3 0.8134 0.4850 0.8323
Ir4 0.3134 0.5150 0.3323
S1 0.1360 0.0672 0.2346
S2 0.6360 0.9328 0.7346
S3 0.1360 0.5672 0.7346
S4 0.6360 0.4328 0.2346

Output
Relative energy among the computed polymorphs   0.050 eV/atom
ΔE_f (raw)   -0.3181 eV per atom
Space-group type   No. 9

***

Record 5
VASP calculation (GGA-PBE) on an optimized crystal structure of PrSmHgPd.

Cell: 3.9505 4.7928 5.9813 Å, 90.00 109.28 90.00°
Element x y z (fractional)
Pr1 0.8581 0.5000 0.7162
Sm1 0.1390 0.0000 0.2780
Hg1 0.4194 0.0000 0.8387
Pd1 0.5835 0.5000 0.1671

Output
Relative energy among the computed polymorphs   0.000 eV/atom
Space-group type   No. 38
Formation enthalpy at 0 K   -0.59 eV/atom

***

Record 6
VASP calculation (GGA-PBE) on an optimized crystal structure of TaAl2Ag.

Cell: 2.8355 2.8355 8.4463 Å, 90.00 90.00 90.09°
Element x y z (fractional)
Al1 0.0000 0.0000 0.0050
Al2 0.5000 0.5000 0.2504
Ag1 0.5000 0.5000 0.7567
Ta1 0.0000 0.0000 0.4878

Output
Relative energy among the computed polymorphs   0.164 eV/atom
Space-group type   No. 99
Formation enthalpy at 0 K   0.02 eV/atom

***

no.,DFT total energy (eV/atom)
1,-6.07
2,-5.85
3,-1.82
4,-5.01
5,-4.34
6,-5.52